DFT (PBE-GGA) results for crystalline Pm6ErTe8 at its relaxed geometry.

Results
Calculated density in g cm⁻³: 6.88
ΔE_f (raw) in kJ/mol of atoms: -138.4
N(E_F) in states/eV per cell: 28.7
Total magnetization in μB/atom: 0.00

Unit cell a=12.571 b=12.571 c=12.571 alpha=90.00 beta=90.00 gamma=90.00
Space group Fm-3m (No. 225)
Asymmetric unit:
Pm: 0.000 0.250 0.250 x24
Er: 0.000 0.000 0.000 x4
Te: 0.000 0.000 0.249 x24
Te: 0.250 0.250 0.250 x8

***

DFT (PBE-GGA) results for crystalline Pm5ErTe6 at its relaxed geometry.

Results
Calculated density in g cm⁻³: 7.41
ΔE_f (raw) in kJ/mol of atoms: -133.0
N(E_F) in states/eV per cell: 12.2
Total magnetization in μB/atom: 0.00

Unit cell a=7.660 b=13.340 c=7.712 alpha=90.00 beta=109.39 gamma=90.00
Space group C2/m (No. 12)
Asymmetric unit:
Pm: 0.000 0.000 0.000 x2
Pm: 0.000 0.168 0.500 x4
Pm: 0.000 0.325 0.000 x4
Er: 0.000 0.500 0.500 x2
Te: 0.241 0.500 0.250 x4
Te: 0.243 0.338 0.744 x8

***

DFT (PBE-GGA) results for crystalline Pm2ErTe4 at its relaxed geometry.

Results
Calculated density in g cm⁻³: 6.75
ΔE_f (raw) in kJ/mol of atoms: -137.5
N(E_F) in states/eV per cell: 8.0
Total magnetization in μB/atom: 0.00
Energy above the lowest structure with this stoichiometry in meV per atom: 0

Unit cell a=8.808 b=8.822 c=12.256 alpha=90.00 beta=90.00 gamma=90.00
Space group Imma (No. 74)
Asymmetric unit:
Pm: 0.000 0.000 0.000 x4
Pm: 0.250 0.250 0.250 x4
Er: 0.000 0.000 0.500 x4
Te: 0.000 0.007 0.746 x8
Te: 0.243 0.250 0.511 x8

***

DFT (PBE-GGA) results for crystalline Pm2ErTe3 at its relaxed geometry.

Results
Calculated density in g cm⁻³: 7.62
ΔE_f (raw) in kJ/mol of atoms: -129.6
N(E_F) in states/eV per cell: 6.1
Total magnetization in μB/atom: 0.00

Unit cell a=4.425 b=6.225 c=13.288 alpha=90.00 beta=90.00 gamma=90.00
Space group Immm (No. 71)
Asymmetric unit:
Pm: 0.000 0.000 0.174 x4
Er: 0.000 0.000 0.500 x2
Te: 0.000 0.500 0.158 x4
Te: 0.000 0.500 0.500 x2

***

DFT (PBE-GGA) results for crystalline PmEr3Te2 at its relaxed geometry.

Results
Calculated density in g cm⁻³: 8.32
ΔE_f (raw) in kJ/mol of atoms: -81.1
N(E_F) in states/eV per cell: 18.8
Total magnetization in μB/atom: 0.00

Unit cell a=16.392 b=4.116 c=11.311 alpha=90.00 beta=109.38 gamma=90.00
Space group C2/m (No. 12)
Asymmetric unit:
Pm: 0.119 0.000 0.044 x4
Er: 0.060 0.000 0.405 x4
Er: 0.124 0.500 0.664 x4
Er: 0.216 0.500 0.378 x4
Te: 0.016 0.500 0.172 x4
Te: 0.229 0.000 0.855 x4

***

DFT (PBE-GGA) results for crystalline PmEr2Te at its relaxed geometry.

Results
Calculated density in g cm⁻³: 7.89
ΔE_f (raw) in kJ/mol of atoms: -49.7
N(E_F) in states/eV per cell: 15.1
Total magnetization in μB/atom: 0.00
Energy above the lowest structure with this stoichiometry in meV per atom: 133

Unit cell a=3.8665 b=3.8665 c=29.5896 alpha=90.00 beta=90.00 gamma=120.00
Space group R3m (No. 160, hexagonal axes)
Asymmetric unit:
Pm: 0.0000 0.0000 0.0000 x3
Er: 0.0000 0.0000 0.5714 x3
Er: 0.0000 0.0000 0.7625 x3
Te: 0.0000 0.0000 0.1668 x3

***

- Number 6 is which compound?
  PmEr2Te